Material: LiInHAu2
Method: DFT, PBE-GGA
State: optimized geometry

a = 4.3347 Å, b = 4.3347 Å, c = 3.9997 Å
α = 90.00°, β = 90.00°, γ = 90.00°
With the nearest neighbours (Å) after each atom.
Space group P4/mmm (No. 123)
Asymmetric unit:
Li1 0.0000 0.0000 0.0000 (multiplicity 1)  2 H 2.00
In1 0.5000 0.5000 0.0000 (multiplicity 1)  8 Au 2.95, 4 Li 3.07
H1 0.0000 0.0000 0.5000 (multiplicity 1)  2 Li 2.00, 4 Au 2.17
Au1 0.0000 0.5000 0.5000 (multiplicity 2)  2 H 2.17

VASP energy in eV/cell: -15.204

---

Material: CaSi2PdPt5
Method: DFT, PBE-GGA
State: optimized geometry

a = 4.0195 Å, b = 4.0195 Å, c = 10.8579 Å
α = 90.00°, β = 90.00°, γ = 90.00°
With the nearest neighbours (Å) after each atom.
Space group P4/mmm (No. 123)
Asymmetric unit:
Ca1 0.0000 0.0000 0.0000 (multiplicity 1)  4 Pt 2.84
Si1 0.5000 0.5000 0.2159 (multiplicity 2)  5 Pt 2.34-2.36
Pd1 0.0000 0.0000 0.5000 (multiplicity 1)  8 Pt 2.73
Pt1 0.0000 0.5000 0.3302 (multiplicity 4)  2 Si 2.36
Pt2 0.5000 0.5000 0.0000 (multiplicity 1)  2 Si 2.34

Raw formation energy in eV/atom: -0.526